# HgPdPb2

HgPdPb2 after structural relaxation (GGA-PBE, Alexandria via LeMat-Bulk).

Cell and atoms, written as extended XYZ:
```
4
Lattice="-3.213 -2.515 -2.231 4.336 0.235 -1.664 1.423 -4.541 3.067" Properties=species:S:1:pos:R:3 pbc="T T T"
Hg 0.712 -2.270 1.534
Pd 0.000 0.000 0.000
Pb 2.108 -1.599 -1.233
Pb 0.439 -5.221 0.405
```

# HgPdPb2

HgPdPb2 after structural relaxation (GGA-PBE, Alexandria via LeMat-Bulk).

Cell and atoms, written as extended XYZ:
```
4
Lattice="3.719 0.000 0.000 1.859 3.220 0.000 1.859 1.073 8.860" Properties=species:S:1:pos:R:3 pbc="T T T"
Hg 3.719 2.147 4.444
Pd 5.578 3.220 8.851
Pb 1.859 1.073 6.997
Pb 1.859 1.073 1.858
```

# HgPd2Pb2

HgPd2Pb2 after structural relaxation (GGA-PBE, Alexandria via LeMat-Bulk).

Cell and atoms, written as extended XYZ:
```
5
Lattice="-0.197 3.370 -2.091 -3.875 0.281 0.819 -0.329 6.044 6.001" Properties=species:S:1:pos:R:3 pbc="T T T"
Pb -1.606 2.889 1.037
Pb -2.796 6.806 3.691
Hg 0.000 0.000 0.000
Pd -1.281 5.619 1.637
Pd -3.120 4.075 3.091
```

# HgPd9Pb2

HgPd9Pb2 after structural relaxation (GGA-PBE, Alexandria via LeMat-Bulk).

Cell and atoms, written as extended XYZ:
```
12
Lattice="-3.254 -2.326 0.863 2.423 -2.676 1.926 -1.590 6.123 10.511" Properties=species:S:1:pos:R:3 pbc="T T T"
Hg 0.000 0.000 0.000
Pd -0.415 -2.501 1.394
Pd -0.947 -0.454 4.907
Pd -1.474 1.576 8.392
Pd -1.890 -0.151 2.168
Pd -2.422 1.899 5.687
Pd -2.954 3.949 9.206
Pd 0.949 -0.327 2.699
Pd 0.417 1.724 6.218
Pd -0.116 3.774 9.738
Pb -0.524 2.020 3.467
Pb -1.065 4.103 7.044
```

# Hg3Pd6Pb

Hg3Pd6Pb after structural relaxation (GGA-PBE, Alexandria via LeMat-Bulk).

Cell and atoms, written as extended XYZ:
```
20
Lattice="4.790 0.000 0.000 0.000 7.340 -2.816 0.000 -0.244 10.293" Properties=species:S:1:pos:R:3 pbc="T T T"
Hg 1.198 3.709 2.703
Hg 3.593 3.386 4.773
Hg 1.198 2.378 7.461
Hg 3.593 4.718 0.015
Hg 1.198 5.549 -1.861
Hg 3.593 1.547 9.337
Pd 1.198 3.154 -0.051
Pd 3.593 3.941 7.527
Pd 1.198 0.965 1.846
Pd 3.593 6.131 5.630
Pd 1.198 4.541 5.676
Pd 3.593 2.555 1.800
Pd 1.198 1.628 4.719
Pd 3.593 5.467 2.757
Pd 1.198 6.099 1.020
Pd 3.593 0.996 6.456
Pd 1.198 0.069 9.386
Pd 3.593 7.027 -1.910
Pb 1.198 6.676 3.857
Pb 3.593 0.420 3.619
```

# HgPd2Pb3

HgPd2Pb3 after structural relaxation (GGA-PBE, Alexandria via LeMat-Bulk).

Cell and atoms, written as extended XYZ:
```
12
Lattice="-3.292 -0.535 -6.546 -5.653 -4.669 -0.457 -6.687 2.990 -0.563" Properties=species:S:1:pos:R:3 pbc="T T T"
Hg -7.816 -1.107 -3.783
Hg 0.000 0.000 0.000
Pd -5.312 -0.752 -2.571
Pd -2.504 -0.355 -1.212
Pd -13.128 -1.860 -6.354
Pd -10.320 -1.462 -4.995
Pb -6.791 1.748 -3.360
Pb -7.397 -2.201 -0.953
Pb -5.352 -2.315 -5.144
Pb -8.841 -3.962 -4.206
Pb -8.235 -0.013 -6.613
Pb -10.280 0.100 -2.422
```

# Hg2Pd3Pb2

Hg2Pd3Pb2 after structural relaxation (GGA-PBE, Alexandria via LeMat-Bulk).

Cell and atoms, written as extended XYZ:
```
7
Lattice="0.105 0.715 3.320 -3.710 -5.169 1.204 6.232 -3.292 2.214" Properties=species:S:1:pos:R:3 pbc="T T T"
Hg 2.914 -5.737 2.846
Hg -0.287 -2.009 3.892
Pd 0.000 0.000 0.000
Pd 1.873 -3.108 2.317
Pd 0.754 -4.638 4.421
Pb -1.503 -5.440 2.929
Pb 4.130 -2.306 3.809
```

# HgPd3Pb2

HgPd3Pb2 after structural relaxation (GGA-PBE, Alexandria via LeMat-Bulk).

Cell and atoms, written as extended XYZ:
```
12
Lattice="-2.945 1.519 4.799 3.299 -3.367 3.090 5.496 5.499 -1.912" Properties=species:S:1:pos:R:3 pbc="T T T"
Hg -0.294 -1.097 6.828
Hg 0.648 -0.750 1.061
Pd -0.850 0.022 3.501
Pd 1.203 -1.870 4.388
Pd 2.043 1.511 -0.288
Pd 3.042 3.368 3.280
Pd 2.809 0.284 2.698
Pd 3.807 2.140 6.266
Pb 1.366 0.961 5.154
Pb 0.611 2.184 2.151
Pb 5.239 1.468 3.827
Pb 4.484 2.690 0.824
```

# HgPdPb5

HgPdPb5 after structural relaxation (GGA-PBE, Alexandria via LeMat-Bulk).

Cell and atoms, written as extended XYZ:
```
14
Lattice="6.732 -1.006 2.714 -1.448 6.651 2.714 -0.595 -0.636 9.224" Properties=species:S:1:pos:R:3 pbc="T T T"
Hg 0.000 0.000 0.000
Hg -0.298 -0.318 4.612
Pd 2.273 2.870 5.020
Pd 2.416 2.140 9.632
Pb 3.236 4.024 7.507
Pb 0.017 4.034 6.428
Pb 3.504 3.177 12.119
Pb 4.310 0.963 5.020
Pb 0.962 5.044 3.611
Pb 3.727 -0.034 11.040
Pb 0.379 4.047 9.632
Pb 1.185 1.832 2.533
Pb 4.672 0.975 8.224
Pb 1.453 0.985 7.145
```

# Hg2Pd4Pb3

Hg2Pd4Pb3 after structural relaxation (GGA-PBE, Alexandria via LeMat-Bulk).

Cell and atoms, written as extended XYZ:
```
9
Lattice="3.753 0.000 0.000 -1.876 5.138 0.198 0.000 -0.189 10.070" Properties=species:S:1:pos:R:3 pbc="T T T"
Hg 0.000 3.304 2.379
Hg 1.876 1.645 7.889
Pd 1.876 1.844 0.897
Pd 0.000 1.308 5.704
Pd 1.876 3.641 4.563
Pd 0.000 3.105 9.371
Pb 0.000 4.090 6.651
Pb 0.000 0.000 0.000
Pb 1.876 0.860 3.617
```

# Hg6Pd12Pb

Hg6Pd12Pb after structural relaxation (GGA-PBE, Alexandria via LeMat-Bulk).

Cell and atoms, written as extended XYZ:
```
19
Lattice="-2.871 6.544 1.054 -4.026 -2.463 -5.468 -2.752 -3.682 5.572" Properties=species:S:1:pos:R:3 pbc="T T T"
Hg -7.180 1.283 -0.552
Hg -2.508 1.818 0.460
Hg -2.812 -0.611 -1.235
Hg -2.470 -0.884 1.710
Hg -7.141 -1.419 0.698
Hg -6.838 1.010 2.393
Pd -5.108 2.884 0.891
Pd -5.586 -0.877 -1.797
Pd -5.054 -1.356 2.795
Pd -4.542 -2.485 0.266
Pd -4.064 1.276 2.955
Pd -4.595 1.755 -1.638
Pd -6.578 3.751 -1.584
Pd -3.722 -0.163 -3.782
Pd -2.836 3.914 2.196
Pd -3.072 -3.352 2.741
Pd -5.927 0.562 4.940
Pd -6.813 -3.515 -1.039
Pb 0.000 0.000 0.000
```

# HgPd3Pb3

HgPd3Pb3 after structural relaxation (GGA-PBE, Alexandria via LeMat-Bulk).

Cell and atoms, written as extended XYZ:
```
14
Lattice="6.977 0.282 2.384 1.792 6.749 2.384 0.352 0.282 7.365" Properties=species:S:1:pos:R:3 pbc="T T T"
Hg 3.063 2.455 4.074
Hg 6.059 4.858 8.059
Pd 4.934 2.447 9.097
Pd 3.990 6.660 7.267
Pd 7.777 4.284 5.852
Pd 1.344 3.029 6.281
Pd 5.131 0.653 4.865
Pd 4.187 4.866 3.036
Pb 6.419 2.891 3.753
Pb 2.433 5.637 5.094
Pb 3.218 1.149 7.209
Pb 5.903 6.164 4.923
Pb 6.688 1.676 7.038
Pb 2.702 4.422 8.380
```

The records above yield E_form values of -110; -65; -80; -218; -163; -110; -93; -145; 32; -159; -14; -160 meV/atom, respectively.
The records above yield density of states at the Fermi level values of 0.4696; 0.5387; 0.3520; 0.8741; 0.4555; 0.4833; 0.4295; 0.2706; 0.4660; 0.2917; 0.5932; 0.3454 states/eV per atom, respectively.